Computed, not measured: a relaxed Pm2CdAu crystal at the PBE-GGA level of DFT.

Properties
ΔE_f (eV per atom): -0.518
SG: Fm-3m (225)

Cell lengths 5.313, 5.313, 5.313 Å; angles 60.00, 60.00, 60.00 degrees
Fractional coordinates of all 4 atoms:
Cd 0.500 0.500 0.500
Au 0.000 0.000 0.000
Pm 0.250 0.250 0.250
Pm 0.750 0.750 0.750

***

Computed, not measured: a relaxed BeAlCd crystal at the PBE-GGA level of DFT.

Properties
ΔE_f (eV per atom): 0.341
SG: P3m1 (156)

Cell lengths 2.951, 2.951, 6.377 Å; angles 90.00, 90.00, 120.00 degrees
Fractional coordinates of all 3 atoms:
Be 0.667 0.333 0.325
Al 0.000 0.000 0.031
Cd 0.333 0.667 0.645

***

Computed, not measured: a relaxed MgOsCl2 crystal at the PBE-GGA level of DFT.

Properties
Formation energy (no corrections) (eV/atom): 0.4955
SG: I-4m2 (119)

Cell lengths 6.257, 6.257, 6.257 Å; angles 146.93, 146.93, 47.46 degrees
Fractional coordinates of all 4 atoms:
Cl 0.000 0.000 0.000
Cl 0.250 0.750 0.500
Mg 0.500 0.500 0.000
Os 0.750 0.250 0.500

***

Computed, not measured: a relaxed TlIn3Pb3 crystal at the PBE-GGA level of DFT.

Properties
ΔE_f (eV per atom): 0.021
SG: P6_3/m (176)

Cell lengths 5.630, 9.230, 9.230 Å; angles 120.00, 90.00, 90.00 degrees
Fractional coordinates of all 14 atoms:
Tl 0.250 0.667 0.333
Tl 0.750 0.333 0.667
In 0.750 0.188 0.961
In 0.750 0.773 0.812
In 0.250 0.961 0.773
In 0.750 0.039 0.227
In 0.250 0.227 0.188
In 0.250 0.812 0.039
Pb 0.750 0.471 0.378
Pb 0.750 0.907 0.529
Pb 0.250 0.378 0.907
Pb 0.750 0.622 0.093
Pb 0.250 0.093 0.471
Pb 0.250 0.529 0.622

***

Computed, not measured: a relaxed ZrAsAuBr2 crystal at the PBE-GGA level of DFT.

Properties
Formation energy (no corrections) (eV/atom): 0.5688
SG: P4/mmm (123)

Cell lengths 5.105, 5.244, 5.105 Å; angles 90.00, 90.00, 90.00 degrees
Fractional coordinates of all 5 atoms:
As 0.000 0.500 0.000
Au 0.000 0.000 0.000
Br 0.000 0.000 0.500
Br 0.500 0.000 0.000
Zr 0.500 0.500 0.500

***

Computed, not measured: a relaxed TbHo4Bi crystal at the PBE-GGA level of DFT.

Properties
ΔE_f (eV per atom): 0.221
SG: P4/mmm (123)

Cell lengths 5.174, 5.175, 7.801 Å; angles 89.97, 89.98, 90.00 degrees
Fractional coordinates of all 6 atoms:
Tb 0.001 0.997 0.498
Ho 0.501 0.997 0.254
Ho 0.501 0.998 0.742
Ho 0.001 0.497 0.742
Ho 0.001 0.497 0.254
Bi 0.501 0.497 0.998

***

Computed, not measured: a relaxed Li2PdI4 crystal at the PBE-GGA level of DFT.

Properties
Formation energy (no corrections) (eV/atom): -0.6600
SG: C2/m (12)

Cell lengths 4.314, 7.232, 7.677 Å; angles 117.56, 106.32, 90.00 degrees
Fractional coordinates of all 7 atoms:
Li 0.734 0.773 0.469
Li 0.266 0.227 0.531
Pd 0.000 0.000 0.000
I 0.888 0.205 0.776
I 0.112 0.795 0.224
I 0.634 0.287 0.269
I 0.366 0.713 0.731

***

Computed, not measured: a relaxed InSnCl3 crystal at the PBE-GGA level of DFT.

Properties
Formation energy (no corrections) (eV/atom): -0.8892
SG: Amm2 (38)

Cell lengths 4.211, 6.329, 6.329 Å; angles 78.84, 90.00, 90.00 degrees
Fractional coordinates of all 5 atoms:
Cl 0.500 0.300 0.316
Cl 0.500 0.684 0.700
Cl 0.000 0.191 0.809
Sn 0.000 0.515 0.485
In 0.500 0.939 0.061

***

How do the records compare in density of states at the Fermi level? In the order shown, they have 3.29 0.90 3.11 3.27 5.69 6.86 3.64 0.00 states/eV/f.u..
How do the records compare in uncorrected energy? In the order shown, they have -0.290 -0.180 -0.267 -0.226 -0.250 -0.312 -0.208 -0.246 Ry/atom.